Record 1
The following is a DFT calculation (PBE-GGA) of a geometry-optimized ScBePt2 structure.

a b c (Å): 4.620 4.620 4.620
angles (deg): 127.86 127.86 76.85
Positions (direct):
Sc1 0.250 0.750 0.500
Be1 0.750 0.250 0.500
Pt1 0.000 0.000 0.000
Pt2 0.500 0.500 0.000

***

Record 2
The following is a DFT calculation (PBE-GGA) of a geometry-optimized ScBePt2 structure.

a b c (Å): 5.051 5.051 5.051
angles (deg): 139.08 133.78 63.42
Positions (direct):
Sc1 0.504 0.504 0.000
Be1 0.770 0.270 0.500
Pt1 0.982 0.982 0.000
Pt2 0.244 0.744 0.500

***

Record 3
The following is a DFT calculation (PBE-GGA) of a geometry-optimized Sc2BePt structure.

a b c (Å): 4.481 4.481 4.481
angles (deg): 60.00 60.00 60.00
Positions (direct):
Sc1 0.000 0.000 0.000
Sc2 0.250 0.250 0.250
Be1 0.500 0.500 0.500
Pt1 0.750 0.750 0.750

***

Record 4
The following is a DFT calculation (PBE-GGA) of a geometry-optimized ScBePt5 structure.

a b c (Å): 3.945 3.945 6.872
angles (deg): 90.00 90.00 90.00
Positions (direct):
Sc1 0.000 0.000 0.500
Be1 0.500 0.500 0.000
Pt1 0.000 0.500 0.799
Pt2 0.000 0.500 0.201
Pt3 0.500 0.000 0.799
Pt4 0.500 0.000 0.201
Pt5 0.500 0.500 0.500

***

Record 5
The following is a DFT calculation (PBE-GGA) of a geometry-optimized ScBePt2 structure.

a b c (Å): 2.885 2.885 6.921
angles (deg): 90.00 90.00 90.00
Positions (direct):
Sc1 0.500 0.500 0.250
Be1 0.500 0.500 0.750
Pt1 0.000 0.000 0.958
Pt2 0.000 0.000 0.542

***

Record 6
The following is a DFT calculation (PBE-GGA) of a geometry-optimized ScBe2Pt structure.

a b c (Å): 3.575 3.152 4.954
angles (deg): 71.45 90.00 90.00
Positions (direct):
Sc1 0.500 0.787 0.800
Be1 0.000 0.174 0.027
Be2 0.500 0.059 0.259
Pt1 0.000 0.480 0.414

***

Record 7
The following is a DFT calculation (PBE-GGA) of a geometry-optimized ScBePt2 structure.

a b c (Å): 3.299 3.299 5.777
angles (deg): 90.00 90.00 90.00
Positions (direct):
Sc1 0.000 0.000 0.485
Be1 0.500 0.500 0.827
Pt1 0.000 0.000 0.933
Pt2 0.500 0.500 0.256

***

Record 8
The following is a DFT calculation (PBE-GGA) of a geometry-optimized ScBe2Pt structure.

a b c (Å): 4.172 3.289 4.404
angles (deg): 89.96 90.00 90.00
Positions (direct):
Sc1 0.500 0.750 0.750
Be1 0.000 0.250 0.002
Be2 0.000 0.250 0.498
Pt1 0.500 0.250 0.250

***

Record 9
The following is a DFT calculation (PBE-GGA) of a geometry-optimized ScBePt2 structure.

a b c (Å): 5.767 5.767 5.767
angles (deg): 52.89 150.48 137.15
Positions (direct):
Sc1 0.000 0.500 0.500
Be1 0.000 0.000 0.000
Pt1 0.000 0.195 0.195
Pt2 0.000 0.805 0.805

***

Record 10
The following is a DFT calculation (PBE-GGA) of a geometry-optimized ScBe2Pt2 structure.

a b c (Å): 7.078 7.078 2.748
angles (deg): 90.00 90.00 90.00
Positions (direct):
Sc1 0.000 0.000 0.000
Sc2 0.500 0.500 0.000
Be1 0.146 0.646 0.500
Be2 0.646 0.854 0.500
Be3 0.854 0.354 0.500
Be4 0.354 0.146 0.500
Pt1 0.353 0.853 0.000
Pt2 0.853 0.647 0.000
Pt3 0.647 0.147 0.000
Pt4 0.147 0.353 0.000

***

Record 11
The following is a DFT calculation (PBE-GGA) of a geometry-optimized ScBe2Pt2 structure.

a b c (Å): 3.936 3.936 5.361
angles (deg): 68.46 68.46 90.00
Positions (direct):
Sc1 0.000 0.000 0.000
Be1 0.380 0.380 0.240
Be2 0.620 0.620 0.760
Pt1 0.750 0.250 0.500
Pt2 0.250 0.750 0.500

***

Record 12
The following is a DFT calculation (PBE-GGA) of a geometry-optimized Sc2BePt structure.

a b c (Å): 4.082 3.566 5.255
angles (deg): 70.36 90.00 90.00
Positions (direct):
Sc1 0.000 0.981 0.915
Sc2 0.500 0.269 0.336
Be1 0.000 0.691 0.493
Pt1 0.500 0.559 0.757

***

The records above yield energy of formation values of -878; -828; -567; -770; -941; -507; -754; -375; -349; -683; -808; -680 meV/atom, respectively.